DFT (GGA-PBE) results for Tb2PtS after structural relaxation.

Properties
The value obtained for the energy relative to the elements, uncorrected is -5.91 eV per formula unit. Its crystal system is trigonal.

a = 3.9581 Å, b = 3.9581 Å, c = 21.2569 Å
α = 90.00°, β = 90.00°, γ = 120.00°
Space group R3m (No. 160, hexagonal axes)
Inequivalent atoms, fractional coordinates:
Tb 0.0000 0.0000 0.0000 [3 per cell]
Tb 0.0000 0.0000 0.1776 [3 per cell]
Pt 0.0000 0.0000 0.5887 [3 per cell]
S 0.0000 0.0000 0.7569 [3 per cell]

DFT (GGA-PBE) results for Tb2PtS after structural relaxation.

Properties
The value obtained for the energy relative to the elements, uncorrected is -6.18 eV per formula unit. Its crystal system is trigonal.

a = 3.9379 Å, b = 3.9379 Å, c = 20.9756 Å
α = 90.00°, β = 90.00°, γ = 120.00°
Space group R-3m (No. 166, hexagonal axes)
Inequivalent atoms, fractional coordinates:
Tb 0.0000 0.0000 0.2483 [6 per cell]
Pt 0.0000 0.0000 0.5000 [3 per cell]
S 0.0000 0.0000 0.0000 [3 per cell]